# 1
HoZnCuHg after structural relaxation. Source: Alexandria, functional PBE.

Cell lengths 6.683, 6.683, 6.683 Å; angles 90.00, 90.00, 90.00 degrees
Space group F-43m (No. 216)
One atom of each set of equivalent atoms:
Ho 0.000 0.000 0.000 (multiplicity 4)
Zn 0.250 0.250 0.250 (multiplicity 4)
Cu 0.250 0.250 0.750 (multiplicity 4)
Hg 0.000 0.000 0.500 (multiplicity 4)

Results
total moment	0.00	μB/atom
formation energy from the elements	-1.01	eV/f.u.

***

# 2
LaPr6Dy2Tm after structural relaxation. Source: Alexandria, functional PBE.

Cell lengths 9.418, 15.374, 9.776 Å; angles 90.00, 96.97, 90.00 degrees
Space group C2/c (No. 15)
One atom of each set of equivalent atoms:
La 0.000 0.029 0.250 (multiplicity 4)
Pr 0.063 0.180 0.944 (multiplicity 8)
Pr 0.096 0.392 0.117 (multiplicity 8)
Pr 0.216 0.223 0.313 (multiplicity 8)
Dy 0.249 0.451 0.451 (multiplicity 8)
Tm 0.000 0.411 0.750 (multiplicity 4)

Results
total moment	0.00	μB/atom
formation energy from the elements	1.13	eV/f.u.